[1]
BaInAu2Se | PBEsol | relaxed

Cell: 5.8513 5.9178 5.9178 Å, 90.00 90.00 90.00°
Last column: nearest neighbours and their distance in Å.
Fractional coordinates of all 5 atoms:
Ba 0.0000 0.0000 0.0000  2 Se 2.93, 4 Au 2.96
In 0.5000 0.5000 0.5000  8 Au 4.16, 4 Se 4.18
Au 0.0000 0.5000 0.0000  2 Ba 2.96
Au 0.0000 0.0000 0.5000  2 Ba 2.96
Se 0.5000 0.0000 0.0000  2 Ba 2.93

Computed properties:
* crystal system: tetragonal
* space-group type: P4/mmm, No. 123
* Fermi-level density of states: 2.9 states/eV per cell
* E_tot: -2.906 eV/atom
* calculated volume: 204.9 Å³/cell
* formation energy without anion corrections: 460 meV per atom

=====

[2]
BaIrAu2 | PBEsol | relaxed

Cell: 4.2510 4.4013 4.4013 Å, 89.99 90.00 90.00°
Last column: nearest neighbours and their distance in Å.
Fractional coordinates of all 4 atoms:
Au 0.0000 0.0000 0.5000  4 Ir 3.06, 4 Ba 3.06, 4 Au 3.11
Ir 0.5000 0.5000 0.5000  8 Au 3.06, 4 Ba 3.11
Ba 0.5000 0.0000 0.0000  8 Au 3.06, 4 Ir 3.11
Au 0.0000 0.5000 0.0000  4 Ba 3.06, 4 Ir 3.06, 4 Au 3.11

Computed properties:
* crystal system: tetragonal
* space-group type: P4/mmm, No. 123
* Fermi-level density of states: 2.0 states/eV per cell
* E_tot: -4.711 eV/atom
* calculated volume: 82.3 Å³/cell
* formation energy from the elements: 0.2437 eV/atom

=====

[3]
KBa2Au | PBEsol | relaxed

Cell: 4.6906 4.6940 11.4965 Å, 101.62 90.00 119.98°
Last column: nearest neighbours and their distance in Å.
Fractional coordinates of all 4 atoms:
Ba 0.2177 0.4353 0.1544  3 Au 3.21
Ba 0.7823 0.5647 0.8456  3 Au 3.21
K 0.0000 0.0000 0.5000  6 K 4.69, 6 Ba 4.71-4.72
Au 0.5000 0.0000 0.0000  6 Ba 3.21

Computed properties:
* crystal system: monoclinic
* energy relative to the lowest polymorph listed for this composition: 0 meV per atom
* space-group type: C2/m, No. 12
* Fermi-level density of states: 3.6 states/eV per cell
* E_tot: -2.663 eV/atom
* calculated volume: 213.3 Å³/cell
* formation energy from the elements: -0.3245 eV/atom

=====

[4]
K2BaAu | PBEsol | relaxed

Cell: 5.9551 5.9551 5.9551 Å, 60.00 60.00 60.00°
Last column: nearest neighbours and their distance in Å.
Fractional coordinates of all 4 atoms:
Ba 0.2500 0.2500 0.2500  4 K 3.65, 4 Au 3.65
K 0.7500 0.7500 0.7500  4 Au 3.65, 4 K 3.65
K 0.0000 0.0000 0.0000  4 Ba 3.65, 4 K 3.65
Au 0.5000 0.5000 0.5000  4 K 3.65, 4 Ba 3.65

Computed properties:
* crystal system: cubic
* energy relative to the lowest polymorph listed for this composition: 0 meV per atom
* space-group type: F-43m, No. 216
* Fermi-level density of states: 3.3 states/eV per cell
* E_tot: -2.066 eV/atom
* calculated volume: 149.3 Å³/cell
* formation energy from the elements: 0.0189 eV/atom

=====

[5]
KBa2Au2 | PBEsol | relaxed

Cell: 4.4338 8.8256 8.8256 Å, 90.00 90.00 90.00°
Last column: nearest neighbours and their distance in Å.
Fractional coordinates of all 10 atoms:
Ba 0.5000 0.6620 0.8380  6 Au 3.37-3.48
Au 0.0000 0.8771 0.6229  1 Au 3.07, 4 Ba 3.37
Au 0.0000 0.6229 0.1229  1 Au 3.07, 4 Ba 3.37
Ba 0.5000 0.3380 0.1620  6 Au 3.37-3.48
K 0.0000 0.5000 0.5000  4 Au 3.50
Au 0.0000 0.1229 0.3771  1 Au 3.07, 4 Ba 3.37
K 0.0000 0.0000 0.0000  4 Au 3.50
Ba 0.5000 0.8380 0.3380  6 Au 3.37-3.48
Ba 0.5000 0.1620 0.6620  6 Au 3.37-3.48
Au 0.0000 0.3771 0.8771  1 Au 3.07, 4 Ba 3.37

Computed properties:
* crystal system: tetragonal
* space-group type: P4/mbm, No. 127
* Fermi-level density of states: 6.1 states/eV per cell
* E_tot: -3.116 eV/atom
* calculated volume: 345.4 Å³/cell
* formation energy from the elements: -0.4603 eV/atom

=====

[6]
KBa2Au | PBEsol | relaxed

Cell: 4.3695 6.9088 7.4852 Å, 117.48 106.97 90.00°
Last column: nearest neighbours and their distance in Å.
Fractional coordinates of all 4 atoms:
Ba 0.3208 0.3208 0.6416  2 Au 3.13
K 0.5000 0.0000 0.0000  4 Au 4.09, 4 Ba 4.12, 2 K 4.37
Au 0.0000 0.5000 0.0000  4 Ba 3.13
Ba 0.6792 0.6792 0.3584  2 Au 3.13

Computed properties:
* crystal system: orthorhombic
* energy relative to the lowest polymorph listed for this composition: 161 meV per atom
* space-group type: Immm, No. 71
* Fermi-level density of states: 3.8 states/eV per cell
* E_tot: -2.502 eV/atom
* calculated volume: 189.3 Å³/cell
* formation energy from the elements: -0.1635 eV/atom

=====

[7]
KBa2Au | PBEsol | relaxed

Cell: 4.6032 6.5027 7.6015 Å, 115.31 90.00 90.00°
Last column: nearest neighbours and their distance in Å.
Fractional coordinates of all 4 atoms:
K 0.0000 0.4118 0.8235  2 Au 3.25
Au 0.5000 0.2444 0.4888  4 Ba 3.12-3.25, 2 K 3.25
Ba 0.5000 0.7529 0.5060  2 Au 3.25
Ba 0.0000 0.0909 0.1818  2 Au 3.12

Computed properties:
* crystal system: orthorhombic
* energy relative to the lowest polymorph listed for this composition: 134 meV per atom
* space-group type: Amm2, No. 38
* Fermi-level density of states: 3.6 states/eV per cell
* E_tot: -2.529 eV/atom
* calculated volume: 205.7 Å³/cell
* formation energy from the elements: -0.1906 eV/atom

=====

[8]
KBa2Au | PBEsol | relaxed

Cell: 4.0260 4.0260 11.1266 Å, 90.00 90.00 90.00°
Last column: nearest neighbours and their distance in Å.
Fractional coordinates of all 4 atoms:
Au 0.5000 0.5000 0.5000  8 Ba 3.39
Ba 0.0000 0.0000 0.3350  4 Au 3.39, 1 Ba 3.67
K 0.5000 0.5000 0.0000  4 K 4.03
Ba 0.0000 0.0000 0.6650  4 Au 3.39, 1 Ba 3.67

Computed properties:
* crystal system: tetragonal
* energy relative to the lowest polymorph listed for this composition: 12 meV per atom
* space-group type: P4/mmm, No. 123
* Fermi-level density of states: 3.9 states/eV per cell
* E_tot: -2.652 eV/atom
* calculated volume: 180.3 Å³/cell
* formation energy from the elements: -0.3127 eV/atom

=====

[9]
K2BaAu | PBEsol | relaxed

Cell: 5.9428 5.9428 5.9428 Å, 60.00 60.00 60.00°
Last column: nearest neighbours and their distance in Å.
Fractional coordinates of all 4 atoms:
Au 0.0000 0.0000 0.0000  8 K 3.64
K 0.7500 0.7500 0.7500  4 Ba 3.64, 4 Au 3.64
Ba 0.5000 0.5000 0.5000  8 K 3.64
K 0.2500 0.2500 0.2500  4 Ba 3.64, 4 Au 3.64

Computed properties:
* crystal system: cubic
* energy relative to the lowest polymorph listed for this composition: 171 meV per atom
* space-group type: Fm-3m, No. 225
* Fermi-level density of states: 4.5 states/eV per cell
* E_tot: -1.895 eV/atom
* calculated volume: 148.4 Å³/cell
* formation energy from the elements: 0.1900 eV/atom

=====

[10]
Ba2SrLaAu | PBEsol | relaxed

Cell: 6.0147 6.2394 6.2394 Å, 90.00 90.00 90.00°
Last column: nearest neighbours and their distance in Å.
Fractional coordinates of all 5 atoms:
Au 0.0000 0.0000 0.0000  2 Sr 3.01, 4 Ba 3.12
Sr 0.5000 0.0000 0.0000  2 Au 3.01
La 0.5000 0.5000 0.5000  8 Ba 4.33, 4 Sr 4.41
Ba 0.0000 0.0000 0.5000  2 Au 3.12
Ba 0.0000 0.5000 0.0000  2 Au 3.12

Computed properties:
* crystal system: tetragonal
* space-group type: P4/mmm, No. 123
* Fermi-level density of states: 7.9 states/eV per cell
* E_tot: -3.109 eV/atom
* calculated volume: 234.2 Å³/cell
* formation energy from the elements: -0.0269 eV/atom

=====

[11]
BaLi2Au | PBEsol | relaxed

Cell: 4.4553 4.4480 6.4048 Å, 109.91 109.94 91.12°
Last column: nearest neighbours and their distance in Å.
Fractional coordinates of all 4 atoms:
Li 0.5000 0.5000 0.5000  4 Li 3.12-3.18, 2 Au 3.22, 2 Ba 3.22
Li 0.0000 0.0000 0.5000  4 Li 3.12-3.18, 2 Ba 3.22, 2 Au 3.22
Au 0.0000 0.5000 0.0000  4 Ba 3.12-3.18, 4 Li 3.22
Ba 0.5000 0.0000 0.0000  4 Au 3.12-3.18, 4 Li 3.22

Computed properties:
* crystal system: orthorhombic
* energy relative to the lowest polymorph listed for this composition: 232 meV per atom
* space-group type: Fmmm, No. 69
* Fermi-level density of states: 1.9 states/eV per cell
* E_tot: -2.628 eV/atom
* calculated volume: 110.9 Å³/cell
* formation energy from the elements: -0.1264 eV/atom

=====

[12]
BaLi3Au | PBEsol | relaxed

Cell: 4.9353 4.9353 4.9353 Å, 90.00 90.00 90.00°
Last column: nearest neighbours and their distance in Å.
Fractional coordinates of all 5 atoms:
Au 0.5000 0.5000 0.5000  12 Li 3.49
Li 0.5000 0.0000 0.0000  2 Ba 2.47
Li 0.0000 0.5000 0.0000  2 Ba 2.47
Li 0.0000 0.0000 0.5000  2 Ba 2.47
Ba 0.0000 0.0000 0.0000  6 Li 2.47

Computed properties:
* crystal system: cubic
* energy relative to the lowest polymorph listed for this composition: 1300 meV per atom
* space-group type: Pm-3m, No. 221
* Fermi-level density of states: 2.3 states/eV per cell
* E_tot: -1.270 eV/atom
* calculated volume: 120.2 Å³/cell
* formation energy from the elements: 1.1248 eV/atom